Entry 1:
DFT (GGA-PBE) results for a geometry-optimized ErThCdTc structure.

Computed properties:
Energy relative to the elements: -4.39 kcal/mol of atoms

Lattice parameters (Å, degrees): 3.496 3.496 8.009 90.00 90.00 90.00
Space group P4mm (No. 99)
Symmetry-distinct sites (fractional):
Er: 0.000 0.000 0.000 x1
Th: 0.000 0.000 0.422 x1
Cd: 0.500 0.500 0.733 x1
Tc: 0.500 0.500 0.212 x1

=====

Entry 2:
DFT (GGA-PBE) results for a geometry-optimized ErThCdTc structure.

Computed properties:
Energy relative to the elements: -1.33 kcal/mol of atoms

Lattice parameters (Å, degrees): 7.256 7.256 7.256 90.00 90.00 90.00
Space group F-43m (No. 216)
Symmetry-distinct sites (fractional):
Er: 0.000 0.000 0.000 x4
Th: 0.000 0.000 0.500 x4
Cd: 0.250 0.250 0.750 x4
Tc: 0.250 0.250 0.250 x4

=====

Entry 3:
DFT (GGA-PBE) results for a geometry-optimized ErZrCdTc structure.

Computed properties:
Energy relative to the elements: -2.80 kcal/mol of atoms

Lattice parameters (Å, degrees): 6.935 6.935 6.935 90.00 90.00 90.00
Space group F-43m (No. 216)
Symmetry-distinct sites (fractional):
Er: 0.000 0.000 0.000 x4
Zr: 0.000 0.000 0.500 x4
Cd: 0.250 0.250 0.750 x4
Tc: 0.250 0.250 0.250 x4

=====

Entry 4:
DFT (GGA-PBE) results for a geometry-optimized Er4CdTe2 structure.

Computed properties:
Uncorrected formation energy: -64 kJ per mole of atoms

Lattice parameters (Å, degrees): 9.334 13.424 13.463 90.00 90.00 90.00
Space group Fddd (No. 70, origin choice 2)
Symmetry-distinct sites (fractional):
Er: 0.070 0.279 0.471 x32
Cd: 0.125 0.125 0.625 x8
Te: 0.000 0.000 0.000 x16

=====

Which Fermi-level density of states belongs to each record? In order, 4.042 4.761 3.789 5.031 states/eV/f.u..